[1]
{
  "formula": "CaLa4Ge4",
  "functional": "PBE",
  "state": "relaxed",
  "magmom_total_mub_per_fu": 0.000,
  "n_ef_per_ev_cell": 11.0,
  "total_energy_ev_per_atom": -5.09,
  "lattice_angstrom": [[-1.643, 6.097, 0.382], [-5.881, -1.146, -7.006], [-6.683, -2.175, 5.966]],
  "species": ["Ge", "Ge", "Ge", "Ge", "Ge", "Ge", "Ge", "Ge", "Ca", "Ca", "La", "La", "La", "La", "La", "La", "La", "La"],
  "frac_coords": [[0.151, 0.128, 0.263], [0.651, 0.763, 0.372], [0.849, 0.737, 0.128], [0.651, 0.237, 0.628], [0.151, 0.872, 0.737], [0.849, 0.263, 0.872], [0.349, 0.628, 0.763], [0.349, 0.372, 0.237], [0.000, 0.000, 0.000], [0.500, 0.500, 0.500], [0.639, 0.909, 0.687], [0.861, 0.591, 0.813], [0.361, 0.687, 0.091], [0.139, 0.813, 0.409], [0.861, 0.409, 0.187], [0.361, 0.313, 0.909], [0.639, 0.091, 0.313], [0.139, 0.187, 0.591]]
}


[2]
{
  "formula": "CaLa4Ge2",
  "functional": "PBE",
  "state": "relaxed",
  "magmom_total_mub_per_fu": 0.000,
  "n_ef_per_ev_cell": 16.2,
  "total_energy_ev_per_atom": -4.84,
  "polymorph_energy_ev_per_atom": 0.000,
  "lattice_angstrom": [[7.947, -0.649, 0.005], [-1.263, 7.260, 0.028], [-3.642, -3.010, 7.940]],
  "species": ["Ge", "Ge", "Ge", "Ge", "La", "La", "La", "La", "La", "La", "La", "La", "Ca", "Ca"],
  "frac_coords": [[0.102, 0.257, 0.774], [0.725, 0.518, 0.341], [0.549, 0.235, 0.701], [0.688, 0.927, 0.194], [0.444, 0.130, 0.972], [0.337, 0.569, 0.156], [0.026, 0.324, 0.413], [0.696, 0.925, 0.546], [0.432, 0.142, 0.318], [0.444, 0.607, 0.801], [0.833, 0.588, 0.069], [0.902, 0.560, 0.717], [0.144, 0.891, 0.513], [0.928, 0.078, 0.987]]
}


[3]
{
  "formula": "LiCaLaGe",
  "functional": "PBE",
  "state": "relaxed",
  "magmom_total_mub_per_fu": 0.000,
  "n_ef_per_ev_cell": 3.1,
  "total_energy_ev_per_atom": -3.77,
  "lattice_angstrom": [[-4.874, 0.961, -1.742], [-2.580, -3.667, -2.761], [-4.104, -2.507, 2.143]],
  "species": ["Ca", "Ge", "La", "Li"],
  "frac_coords": [[0.500, 0.500, 0.500], [0.250, 0.250, 0.250], [0.000, 0.000, 0.000], [0.750, 0.750, 0.750]]
}


[4]
{
  "formula": "Li2CaLaGe2",
  "functional": "PBE",
  "state": "relaxed",
  "magmom_total_mub_per_fu": 0.000,
  "n_ef_per_ev_cell": 3.1,
  "total_energy_ev_per_atom": -3.92,
  "lattice_angstrom": [[4.581, 0.000, 0.000], [-2.291, 3.967, 0.000], [0.000, 0.000, 7.508]],
  "species": ["La", "Li", "Li", "Ca", "Ge", "Ge"],
  "frac_coords": [[0.000, 0.000, 0.000], [0.667, 0.333, 0.280], [0.333, 0.667, 0.720], [0.000, 0.000, 0.500], [0.667, 0.333, 0.756], [0.333, 0.667, 0.244]]
}


[5]
{
  "formula": "CaLa2GeN4",
  "functional": "PBE",
  "state": "relaxed",
  "magmom_total_mub_per_fu": 0.000,
  "e_form_raw_ev_per_fu": -6.6,
  "n_ef_per_ev_cell": 0.0,
  "total_energy_ev_per_atom": -7.05,
  "lattice_angstrom": [[3.543, 0.000, 0.000], [-1.772, 6.157, 0.000], [0.000, 0.000, 12.416]],
  "species": ["N", "N", "N", "N", "N", "N", "N", "N", "Ca", "Ca", "La", "La", "La", "La", "Ge", "Ge"],
  "frac_coords": [[0.000, 0.000, 0.000], [0.268, 0.537, 0.369], [0.414, 0.829, 0.750], [0.268, 0.537, 0.131], [0.000, 0.000, 0.500], [0.732, 0.463, 0.869], [0.586, 0.171, 0.250], [0.732, 0.463, 0.631], [0.106, 0.213, 0.750], [0.894, 0.787, 0.250], [0.630, 0.260, 0.040], [0.370, 0.740, 0.960], [0.630, 0.260, 0.460], [0.370, 0.740, 0.540], [0.179, 0.357, 0.250], [0.821, 0.643, 0.750]]
}


[6]
{
  "formula": "NaCaLaGe",
  "functional": "PBE",
  "state": "relaxed",
  "magmom_total_mub_per_fu": 0.000,
  "n_ef_per_ev_cell": 2.9,
  "total_energy_ev_per_atom": -3.50,
  "lattice_angstrom": [[5.386, 0.000, 0.000], [2.693, 4.665, 0.000], [2.693, 1.555, 4.398]],
  "species": ["Ge", "Na", "Ca", "La"],
  "frac_coords": [[0.250, 0.250, 0.250], [0.750, 0.750, 0.750], [0.500, 0.500, 0.500], [0.000, 0.000, 0.000]]
}


[7]
{
  "formula": "CaLaNiGe2",
  "functional": "PBE",
  "state": "relaxed",
  "magmom_total_mub_per_fu": 0.000,
  "n_ef_per_ev_cell": 4.8,
  "total_energy_ev_per_atom": -4.63,
  "lattice_angstrom": [[-0.893, -4.507, 1.766], [-0.209, -1.753, -4.581], [4.836, -0.908, 0.127]],
  "species": ["La", "Ca", "Ge", "Ge", "Ni"],
  "frac_coords": [[0.000, 0.500, 0.000], [0.500, 0.500, 0.500], [0.000, 0.000, 0.500], [0.500, 0.000, 0.000], [0.000, 0.000, 0.000]]
}


[8]
{
  "formula": "Ca2LaGeO",
  "functional": "PBE",
  "state": "relaxed",
  "magmom_total_mub_per_fu": 0.000,
  "e_form_raw_ev_per_fu": -7.3,
  "n_ef_per_ev_cell": 2.9,
  "total_energy_ev_per_atom": -5.16,
  "lattice_angstrom": [[4.757, 0.000, 0.000], [0.000, 4.757, 0.000], [0.000, 0.000, 4.999]],
  "species": ["Ca", "Ca", "Ge", "La", "O"],
  "frac_coords": [[0.500, 0.000, 0.000], [0.000, 0.500, 0.000], [0.500, 0.500, 0.500], [0.000, 0.000, 0.500], [0.000, 0.000, 0.000]]
}